Record 1
TaNiRu after structural relaxation, computed with PBE-GGA.

Structure (POSCAR):
```
TaNiRu
1.0
-1.5988 1.5988 4.2555
1.5988 -1.5988 4.2555
1.5988 1.5988 -4.2555
Ta Ni Ru
1 1 1
direct
0.0000 0.0000 0.0000
0.3432 0.3432 0.0000
0.6646 0.6646 0.0000
```

## Properties
Energy of formation from the pure elements in eV per formula unit: -0.6
Total energy in eV/atom: -9.17
V in Å³/f.u.: 43.51
Size of the total moment in μB/cell: 0.5

=====

Record 2
AlCr2Pt after structural relaxation, computed with PBE-GGA.

Structure (POSCAR):
```
AlCr2Pt
1.0
2.6631 0.0000 0.0000
0.0000 2.6631 0.0000
0.0000 0.0000 7.5726
Al Cr Pt
1 2 1
direct
0.0000 0.0000 0.0000
0.5000 0.5000 0.2456
0.5000 0.5000 0.7544
0.0000 0.0000 0.5000
```

## Properties
Energy of formation from the pure elements in eV per formula unit: -0.3
Total energy in eV/atom: -7.34
V in Å³/f.u.: 53.70
Size of the total moment in μB/cell: 1.2

=====

Record 3
LiCoPb after structural relaxation, computed with PBE-GGA.

Structure (POSCAR):
```
LiCoPb
1.0
-1.6999 1.6999 4.2200
1.6999 -1.6999 4.2200
1.6999 1.6999 -4.2200
Li Co Pb
1 1 1
direct
0.0000 0.0000 0.0000
0.3491 0.3491 0.0000
0.6810 0.6810 0.0000
```

## Properties
Energy of formation from the pure elements in eV per formula unit: 0.6
Total energy in eV/atom: -4.06
V in Å³/f.u.: 48.78
Size of the total moment in μB/cell: 0.9

=====

Record 4
Zr2TaBe2Ru5 after structural relaxation, computed with PBE-GGA.

Structure (POSCAR):
```
Zr2TaBe2Ru5
1.0
9.5282 0.0000 0.0000
0.0000 9.5282 0.0000
0.0000 0.0000 3.2098
Zr Ta Be Ru
4 2 4 10
direct
0.1730 0.3270 0.0000
0.3270 0.8270 0.0000
0.6730 0.1730 0.0000
0.8270 0.6730 0.0000
0.0000 0.0000 0.0000
0.5000 0.5000 0.0000
0.1221 0.6221 0.0000
0.3779 0.1221 0.0000
0.6221 0.8779 0.0000
0.8779 0.3779 0.0000
0.0000 0.5000 0.5000
0.0724 0.7899 0.5000
0.2101 0.0724 0.5000
0.2899 0.5724 0.5000
0.4276 0.2899 0.5000
0.5000 0.0000 0.5000
0.5724 0.7101 0.5000
0.7101 0.4276 0.5000
0.7899 0.9276 0.5000
0.9276 0.2101 0.5000
```

## Properties
Energy of formation from the pure elements in eV per formula unit: -5.3
Total energy in eV/atom: -8.81
V in Å³/f.u.: 145.71
Size of the total moment in μB/cell: 0.0

=====

Record 5
Al5Se after structural relaxation, computed with PBE-GGA.

Structure (POSCAR):
```
Al5Se
1.0
2.0351 -6.4682 0.0000
2.0351 6.4682 0.0000
0.0000 0.0000 4.0729
Al Se
5 1
direct
0.0000 0.0000 0.0000
0.1764 0.8236 0.5000
0.3265 0.6735 0.0000
0.6735 0.3265 0.0000
0.8236 0.1764 0.5000
0.5000 0.5000 0.5000
```

## Properties
Raw formation energy in eV per atom: 0.0895
Total energy in eV/atom: -3.61
V in Å³/f.u.: 107.23
Size of the total moment in μB/cell: 0.0

=====

Record 6
TlC2 after structural relaxation, computed with PBE-GGA.

Structure (POSCAR):
```
TlC2
1.0
1.9358 1.1177 4.6192
-1.9358 1.1177 4.6192
0.0000 -2.2353 4.6192
Tl C
1 2
direct
0.0000 0.0000 0.0000
0.7412 0.7412 0.7412
0.8331 0.8331 0.8331
```

## Properties
Energy of formation from the pure elements in eV per formula unit: 4.6
Total energy in eV/atom: -5.39
V in Å³/f.u.: 59.96
Size of the total moment in μB/cell: 0.0

=====

Record 7
Li2HoGe2Au2 after structural relaxation, computed with PBE-GGA.

Structure (POSCAR):
```
Li2HoGe2Au2
1.0
2.2235 1.2837 7.4753
-2.2235 1.2837 7.4753
0.0000 -2.5675 7.4753
Li Ho Ge Au
2 1 2 2
direct
0.1405 0.1405 0.1405
0.8595 0.8595 0.8595
0.0000 0.0000 0.0000
0.4278 0.4278 0.4278
0.5722 0.5722 0.5722
0.2589 0.2589 0.2589
0.7411 0.7411 0.7411
```

## Properties
Energy of formation from the pure elements in eV per formula unit: -4.0
Total energy in eV/atom: -4.03
V in Å³/f.u.: 128.02
Size of the total moment in μB/cell: 0.0

=====

Record 8
CaEr2ThAs4 after structural relaxation, computed with PBE-GGA.

Structure (POSCAR):
```
CaEr2ThAs4
1.0
7.1950 0.0000 0.0000
0.0000 4.1855 0.0000
-2.3800 0.0000 6.8292
Ca Er Th As
1 2 1 4
direct
0.0000 0.0000 0.0000
0.0000 0.5000 0.5000
0.5000 0.0000 0.5000
0.5000 0.5000 0.0000
0.2479 0.0000 0.7411
0.2566 0.5000 0.2598
0.7434 0.5000 0.7402
0.7521 0.0000 0.2589
```

## Properties
Energy of formation from the pure elements in eV per formula unit: -11.3
Total energy in eV/atom: -6.06
V in Å³/f.u.: 205.66
Size of the total moment in μB/cell: 0.0

=====

V of number 2 (AlCr2Pt)? 53.70 Å³/f.u.